# KCdPbAu2

A relaxed KCdPbAu2 crystal (PBE, the Alexandria database).

Summary:
- Fermi-level density of states: 1.6 states/eV per cell
- Density: 9.07 g/cm3
- Volume: 138 Å³/cell
- Formation energy from the elements: -16 kJ/mol of atoms
- Size of the total moment: 0.0000 μB/atom

Cell lengths 4.962, 4.264, 7.290 Å; angles 107.00, 109.90, 90.00 degrees
Atoms (fractional coordinates):
Cd (0.834, 0.834, 0.667)
Au (0.683, 0.183, 0.365)
Au (0.044, 0.044, 0.088)
Pb (0.193, 0.693, 0.386)
K (0.459, 0.459, 0.918)

=====

# K2CdPb4Au3

A relaxed K2CdPb4Au3 crystal (PBE, the Alexandria database).

Summary:
- Fermi-level density of states: 6.2 states/eV per cell
- Density: 8.83 g/cm3
- Volume: 303 Å³/cell
- Formation energy from the elements: -16 kJ/mol of atoms
- Size of the total moment: 0.0000 μB/atom

Cell lengths 5.034, 5.034, 11.956 Å; angles 90.00, 90.00, 90.00 degrees
Atoms (fractional coordinates):
Pb (0.500, 0.000, 0.632)
Pb (0.000, 0.500, 0.368)
Pb (0.000, 0.000, 0.000)
Pb (0.500, 0.500, 0.000)
Au (0.500, 0.000, 0.870)
Au (0.000, 0.500, 0.130)
Au (0.000, 0.000, 0.500)
K (0.000, 0.500, 0.744)
K (0.500, 0.000, 0.256)
Cd (0.500, 0.500, 0.500)

=====

# K2Cd3PbAu4

A relaxed K2Cd3PbAu4 crystal (PBE, the Alexandria database).

Summary:
- Fermi-level density of states: 5.2 states/eV per cell
- Density: 8.50 g/cm3
- Volume: 276 Å³/cell
- Formation energy from the elements: -21 kJ/mol of atoms
- Size of the total moment: 0.0000 μB/atom

Cell lengths 4.922, 4.922, 11.380 Å; angles 90.00, 90.00, 90.00 degrees
Atoms (fractional coordinates):
Au (0.000, 0.000, 0.000)
Au (0.000, 0.500, 0.367)
Au (0.500, 0.000, 0.633)
Au (0.500, 0.500, 0.000)
K (0.500, 0.000, 0.235)
K (0.000, 0.500, 0.765)
Cd (0.000, 0.500, 0.124)
Cd (0.000, 0.000, 0.500)
Cd (0.500, 0.000, 0.876)
Pb (0.500, 0.500, 0.500)

=====

# K2Cd12PbAu3

A relaxed K2Cd12PbAu3 crystal (PBE, the Alexandria database).

Summary:
- Fermi-level density of states: 8.7 states/eV per cell
- Density: 6.13 g/cm3
- Volume: 602 Å³/cell
- Formation energy from the elements: 10 kJ/mol of atoms
- Size of the total moment: 0.0000 μB/atom

Cell lengths 9.323, 9.323, 9.323 Å; angles 62.30, 62.30, 62.30 degrees
Atoms (fractional coordinates):
Cd (0.869, 0.869, 0.393)
Cd (0.869, 0.393, 0.869)
Cd (0.341, 0.341, 0.868)
Cd (0.131, 0.607, 0.131)
Cd (0.341, 0.868, 0.341)
Cd (0.868, 0.341, 0.341)
Cd (0.607, 0.131, 0.131)
Cd (0.393, 0.869, 0.869)
Cd (0.131, 0.131, 0.607)
Cd (0.659, 0.659, 0.132)
Cd (0.659, 0.132, 0.659)
Cd (0.132, 0.659, 0.659)
Au (0.500, 0.000, 0.000)
Au (0.000, 0.000, 0.500)
Au (0.000, 0.500, 0.000)
K (0.606, 0.606, 0.606)
K (0.394, 0.394, 0.394)
Pb (0.000, 0.000, 0.000)

=====

# KCd2PbAu

A relaxed KCd2PbAu crystal (PBE, the Alexandria database).

Summary:
- Fermi-level density of states: 2.8 states/eV per cell
- Density: 6.75 g/cm3
- Volume: 164 Å³/cell
- Formation energy from the elements: -1 kJ/mol of atoms
- Size of the total moment: 0.0000 μB/atom
- Distance to the lowest polymorph of the same formula: 0.149 eV/atom

Cell lengths 5.398, 5.398, 5.641 Å; angles 90.00, 90.00, 90.00 degrees
Atoms (fractional coordinates):
Au (0.000, 0.000, 0.000)
K (0.500, 0.500, 0.500)
Cd (0.000, 0.500, 0.000)
Cd (0.500, 0.000, 0.000)
Pb (0.000, 0.000, 0.500)

=====

# K2Cd4PdAu3

A relaxed K2Cd4PdAu3 crystal (PBE, the Alexandria database).

Summary:
- Fermi-level density of states: 3.3 states/eV per cell
- Density: 7.74 g/cm3
- Volume: 263 Å³/cell
- Formation energy from the elements: -21 kJ/mol of atoms
- Size of the total moment: 0.0000 μB/atom

Cell lengths 4.834, 4.834, 11.245 Å; angles 90.00, 90.00, 90.00 degrees
Atoms (fractional coordinates):
K (0.000, 0.500, 0.739)
K (0.500, 0.000, 0.261)
Cd (0.000, 0.500, 0.380)
Cd (0.000, 0.000, 0.000)
Cd (0.500, 0.000, 0.620)
Cd (0.500, 0.500, 0.000)
Au (0.500, 0.000, 0.866)
Au (0.000, 0.000, 0.500)
Au (0.000, 0.500, 0.134)
Pd (0.500, 0.500, 0.500)

=====

# K2Cd12PdAu3

A relaxed K2Cd12PdAu3 crystal (PBE, the Alexandria database).

Summary:
- Fermi-level density of states: 8.4 states/eV per cell
- Density: 7.13 g/cm3
- Volume: 495 Å³/cell
- Formation energy from the elements: -5 kJ/mol of atoms
- Size of the total moment: 0.0000 μB/atom

Cell lengths 10.753, 10.753, 10.753 Å; angles 41.58, 41.58, 41.58 degrees
Atoms (fractional coordinates):
Cd (0.586, 0.184, 0.586)
Cd (0.414, 0.414, 0.816)
Cd (0.934, 0.934, 0.341)
Cd (0.184, 0.586, 0.586)
Cd (0.816, 0.414, 0.414)
Cd (0.414, 0.816, 0.414)
Cd (0.341, 0.934, 0.934)
Cd (0.934, 0.341, 0.934)
Cd (0.586, 0.586, 0.184)
Cd (0.066, 0.659, 0.066)
Cd (0.659, 0.066, 0.066)
Cd (0.066, 0.066, 0.659)
Au (0.000, 0.000, 0.500)
Au (0.000, 0.500, 0.000)
Au (0.500, 0.000, 0.000)
K (0.655, 0.655, 0.655)
K (0.345, 0.345, 0.345)
Pd (0.000, 0.000, 0.000)

=====

# K2Cd12PtAu3

A relaxed K2Cd12PtAu3 crystal (PBE, the Alexandria database).

Summary:
- Fermi-level density of states: 7.6 states/eV per cell
- Density: 7.46 g/cm3
- Volume: 493 Å³/cell
- Formation energy from the elements: -6 kJ/mol of atoms
- Size of the total moment: 0.0000 μB/atom

Cell lengths 10.746, 10.746, 10.746 Å; angles 41.52, 41.52, 41.52 degrees
Atoms (fractional coordinates):
Cd (0.414, 0.816, 0.414)
Cd (0.656, 0.068, 0.068)
Cd (0.344, 0.932, 0.932)
Cd (0.932, 0.344, 0.932)
Cd (0.932, 0.932, 0.344)
Cd (0.068, 0.656, 0.068)
Cd (0.816, 0.414, 0.414)
Cd (0.414, 0.414, 0.816)
Cd (0.068, 0.068, 0.656)
Cd (0.586, 0.184, 0.586)
Cd (0.586, 0.586, 0.184)
Cd (0.184, 0.586, 0.586)
Au (0.000, 0.000, 0.500)
Au (0.500, 0.000, 0.000)
Au (0.000, 0.500, 0.000)
K (0.654, 0.654, 0.654)
K (0.346, 0.346, 0.346)
Pt (0.000, 0.000, 0.000)

=====

# KCd2PtAu

A relaxed KCd2PtAu crystal (PBE, the Alexandria database).

Summary:
- Fermi-level density of states: 2.1 states/eV per cell
- Density: 7.43 g/cm3
- Volume: 147 Å³/cell
- Formation energy from the elements: -17 kJ/mol of atoms
- Size of the total moment: 0.0000 μB/atom

Cell lengths 5.248, 5.248, 5.325 Å; angles 90.00, 90.00, 90.00 degrees
Atoms (fractional coordinates):
K (0.500, 0.500, 0.500)
Pt (0.000, 0.000, 0.000)
Cd (0.500, 0.000, 0.000)
Cd (0.000, 0.500, 0.000)
Au (0.000, 0.000, 0.500)

=====

# KCd4PtAu2

A relaxed KCd4PtAu2 crystal (PBE, the Alexandria database).

Summary:
- Fermi-level density of states: 3.5 states/eV per cell
- Density: 10.31 g/cm3
- Volume: 174 Å³/cell
- Formation energy from the elements: -12 kJ/mol of atoms
- Size of the total moment: 0.0000 μB/atom

Cell lengths 5.002, 5.002, 8.517 Å; angles 72.92, 72.92, 60.00 degrees
Atoms (fractional coordinates):
Cd (0.612, 0.612, 0.163)
Cd (0.388, 0.388, 0.837)
Cd (0.856, 0.856, 0.432)
Cd (0.144, 0.144, 0.568)
Pt (0.500, 0.500, 0.500)
Au (0.735, 0.735, 0.795)
Au (0.265, 0.265, 0.205)
K (0.000, 0.000, 0.000)

=====

# KCd4Pt2Au

A relaxed KCd4Pt2Au crystal (PBE, the Alexandria database).

Summary:
- Fermi-level density of states: 1.3 states/eV per cell
- Density: 10.95 g/cm3
- Volume: 163 Å³/cell
- Formation energy from the elements: -9 kJ/mol of atoms
- Size of the total moment: 0.0000 μB/atom

Cell lengths 4.851, 4.851, 8.484 Å; angles 73.39, 73.39, 60.00 degrees
Atoms (fractional coordinates):
Au (0.500, 0.500, 0.500)
Cd (0.384, 0.384, 0.849)
Cd (0.132, 0.132, 0.604)
Cd (0.616, 0.616, 0.151)
Cd (0.868, 0.868, 0.396)
Pt (0.748, 0.748, 0.756)
Pt (0.252, 0.252, 0.244)
K (0.000, 0.000, 0.000)

=====

# KRbCd2Au

A relaxed KRbCd2Au crystal (PBE, the Alexandria database).

Summary:
- Fermi-level density of states: 2.6 states/eV per cell
- Density: 4.72 g/cm3
- Volume: 192 Å³/cell
- Formation energy from the elements: -7 kJ/mol of atoms
- Size of the total moment: 0.0000 μB/atom
- Distance to the lowest polymorph of the same formula: 0.041 eV/atom

Cell lengths 5.505, 5.505, 6.344 Å; angles 90.00, 90.00, 90.00 degrees
Atoms (fractional coordinates):
K (0.500, 0.500, 0.500)
Cd (0.000, 0.500, 0.000)
Cd (0.500, 0.000, 0.000)
Rb (0.000, 0.000, 0.500)
Au (0.000, 0.000, 0.000)

=====

# KRbCdAu2

A relaxed KRbCdAu2 crystal (PBE, the Alexandria database).

Summary:
- Fermi-level density of states: 0.9 states/eV per cell
- Density: 6.09 g/cm3
- Volume: 172 Å³/cell
- Formation energy from the elements: -17 kJ/mol of atoms
- Size of the total moment: 0.0000 μB/atom

Cell lengths 5.348, 4.484, 7.977 Å; angles 106.33, 109.58, 90.00 degrees
Atoms (fractional coordinates):
Cd (0.828, 0.828, 0.656)
Rb (0.475, 0.475, 0.949)
Au (0.702, 0.202, 0.404)
Au (0.023, 0.023, 0.046)
K (0.185, 0.685, 0.370)

=====

# KRb2Cd2Au2

A relaxed KRb2Cd2Au2 crystal (PBE, the Alexandria database).

Summary:
- Fermi-level density of states: 3.1 states/eV per cell
- Density: 4.96 g/cm3
- Volume: 278 Å³/cell
- Formation energy from the elements: -21 kJ/mol of atoms
- Size of the total moment: 0.0000 μB/atom

Cell lengths 4.967, 4.967, 13.311 Å; angles 79.25, 79.25, 60.00 degrees
Atoms (fractional coordinates):
Cd (0.720, 0.720, 0.840)
Cd (0.280, 0.280, 0.160)
Rb (0.886, 0.886, 0.341)
Rb (0.114, 0.114, 0.659)
Au (0.611, 0.611, 0.166)
Au (0.389, 0.389, 0.834)
K (0.000, 0.000, 0.000)

=====

# K3Rb2Cd4Au2

A relaxed K3Rb2Cd4Au2 crystal (PBE, the Alexandria database).

Summary:
- Fermi-level density of states: 4.4 states/eV per cell
- Density: 4.00 g/cm3
- Volume: 470 Å³/cell
- Formation energy from the elements: -6 kJ/mol of atoms
- Size of the total moment: 0.0000 μB/atom

Cell lengths 5.454, 5.454, 16.275 Å; angles 99.65, 99.65, 90.00 degrees
Atoms (fractional coordinates):
Cd (0.419, 0.919, 0.839)
Cd (0.581, 0.081, 0.161)
Cd (0.919, 0.419, 0.839)
Cd (0.081, 0.581, 0.161)
K (0.000, 0.000, 0.000)
K (0.150, 0.150, 0.300)
K (0.850, 0.850, 0.700)
Rb (0.302, 0.302, 0.603)
Rb (0.698, 0.698, 0.397)
Au (0.587, 0.587, 0.173)
Au (0.413, 0.413, 0.827)

=====

# KRbCd2Au

A relaxed KRbCd2Au crystal (PBE, the Alexandria database).

Summary:
- Fermi-level density of states: 2.7 states/eV per cell
- Density: 4.85 g/cm3
- Volume: 187 Å³/cell
- Formation energy from the elements: -10 kJ/mol of atoms
- Size of the total moment: 0.0000 μB/atom
- Distance to the lowest polymorph of the same formula: 0.010 eV/atom

Cell lengths 5.503, 5.503, 6.175 Å; angles 90.00, 90.00, 90.00 degrees
Atoms (fractional coordinates):
Au (0.000, 0.000, 0.000)
Cd (0.000, 0.500, 0.000)
Cd (0.500, 0.000, 0.000)
Rb (0.500, 0.500, 0.500)
K (0.000, 0.000, 0.500)

=====

# K4Rb2CdAu2

A relaxed K4Rb2CdAu2 crystal (PBE, the Alexandria database).

Summary:
- Fermi-level density of states: 4.0 states/eV per cell
- Density: 2.84 g/cm3
- Volume: 487 Å³/cell
- Formation energy from the elements: -14 kJ/mol of atoms
- Size of the total moment: 0.0000 μB/atom

Cell lengths 6.375, 7.956, 10.720 Å; angles 102.65, 112.52, 79.72 degrees
Atoms (fractional coordinates):
K (0.014, 0.768, 0.666)
K (0.986, 0.232, 0.334)
K (0.592, 0.746, 0.038)
K (0.408, 0.254, 0.962)
Cd (0.000, 0.000, 0.000)
Rb (0.702, 0.328, 0.693)
Rb (0.298, 0.672, 0.307)
Au (0.056, 0.635, 0.955)
Au (0.944, 0.365, 0.045)

=====

# KRb2Cd12Au3

A relaxed KRb2Cd12Au3 crystal (PBE, the Alexandria database).

Summary:
- Fermi-level density of states: 8.3 states/eV per cell
- Density: 5.27 g/cm3
- Volume: 678 Å³/cell
- Formation energy from the elements: 3 kJ/mol of atoms
- Size of the total moment: 0.0000 μB/atom

Cell lengths 10.001, 10.001, 10.001 Å; angles 58.19, 58.19, 58.19 degrees
Atoms (fractional coordinates):
Cd (0.847, 0.323, 0.323)
Cd (0.835, 0.835, 0.513)
Cd (0.165, 0.487, 0.165)
Cd (0.677, 0.153, 0.677)
Cd (0.165, 0.165, 0.487)
Cd (0.487, 0.165, 0.165)
Cd (0.835, 0.513, 0.835)
Cd (0.323, 0.323, 0.847)
Cd (0.677, 0.677, 0.153)
Cd (0.323, 0.847, 0.323)
Cd (0.153, 0.677, 0.677)
Cd (0.513, 0.835, 0.835)
Au (0.500, 0.000, 0.000)
Au (0.000, 0.500, 0.000)
Au (0.000, 0.000, 0.500)
Rb (0.401, 0.401, 0.401)
Rb (0.599, 0.599, 0.599)
K (0.000, 0.000, 0.000)

=====

# KRbCd2Au

A relaxed KRbCd2Au crystal (PBE, the Alexandria database).

Summary:
- Fermi-level density of states: 2.9 states/eV per cell
- Density: 5.02 g/cm3
- Volume: 181 Å³/cell
- Formation energy from the elements: -11 kJ/mol of atoms
- Size of the total moment: 0.0000 μB/atom
- Distance to the lowest polymorph of the same formula: 0.000 eV/atom

Cell lengths 5.377, 4.857, 7.810 Å; angles 108.11, 110.14, 90.00 degrees
Atoms (fractional coordinates):
Cd (0.031, 0.031, 0.063)
Cd (0.707, 0.207, 0.415)
Rb (0.440, 0.440, 0.881)
K (0.203, 0.703, 0.405)
Au (0.830, 0.830, 0.661)

=====

# K2RbCdAu

A relaxed K2RbCdAu crystal (PBE, the Alexandria database).

Summary:
- Fermi-level density of states: 2.6 states/eV per cell
- Density: 3.37 g/cm3
- Volume: 233 Å³/cell
- Formation energy from the elements: -11 kJ/mol of atoms
- Size of the total moment: 0.0000 μB/atom
- Distance to the lowest polymorph of the same formula: 0.000 eV/atom

Cell lengths 6.477, 6.477, 5.548 Å; angles 90.00, 90.00, 90.00 degrees
Atoms (fractional coordinates):
Au (0.000, 0.000, 0.000)
Cd (0.000, 0.000, 0.500)
K (0.000, 0.500, 0.000)
K (0.500, 0.000, 0.000)
Rb (0.500, 0.500, 0.500)

=====

# K2RbCdAu

A relaxed K2RbCdAu crystal (PBE, the Alexandria database).

Summary:
- Fermi-level density of states: 2.7 states/eV per cell
- Density: 2.97 g/cm3
- Volume: 264 Å³/cell
- Formation energy from the elements: -7 kJ/mol of atoms
- Size of the total moment: 0.0000 μB/atom
- Distance to the lowest polymorph of the same formula: 0.043 eV/atom

Cell lengths 4.980, 4.797, 11.603 Å; angles 102.14, 102.39, 90.00 degrees
Atoms (fractional coordinates):
K (0.865, 0.866, 0.730)
K (0.247, 0.248, 0.494)
Au (0.710, 0.711, 0.421)
Cd (0.641, 0.140, 0.281)
Rb (0.520, 0.518, 0.040)

=====

# K2RbCdAu

A relaxed K2RbCdAu crystal (PBE, the Alexandria database).

Summary:
- Fermi-level density of states: 2.4 states/eV per cell
- Density: 3.26 g/cm3
- Volume: 241 Å³/cell
- Formation energy from the elements: -1 kJ/mol of atoms
- Size of the total moment: 0.0000 μB/atom
- Distance to the lowest polymorph of the same formula: 0.107 eV/atom

Cell lengths 6.651, 6.651, 5.454 Å; angles 90.00, 90.00, 90.00 degrees
Atoms (fractional coordinates):
Rb (0.500, 0.500, 0.500)
Au (0.000, 0.000, 0.500)
Cd (0.000, 0.000, 0.000)
K (0.500, 0.000, 0.000)
K (0.000, 0.500, 0.000)

=====

# K2RbCdAu

A relaxed K2RbCdAu crystal (PBE, the Alexandria database).

Summary:
- Fermi-level density of states: 5.9 states/eV per cell
- Density: 2.92 g/cm3
- Volume: 269 Å³/cell
- Formation energy from the elements: -3 kJ/mol of atoms
- Size of the total moment: 0.0700 μB/atom
- Distance to the lowest polymorph of the same formula: 0.084 eV/atom

Cell lengths 6.371, 6.371, 6.618 Å; angles 90.00, 90.00, 90.00 degrees
Atoms (fractional coordinates):
K (0.500, 0.000, 0.000)
K (0.000, 0.500, 0.000)
Au (0.000, 0.000, 0.000)
Rb (0.000, 0.000, 0.500)
Cd (0.500, 0.500, 0.500)

=====

# KCd2RhAu

A relaxed KCd2RhAu crystal (PBE, the Alexandria database).

Summary:
- Fermi-level density of states: 1.6 states/eV per cell
- Density: 6.56 g/cm3
- Volume: 143 Å³/cell
- Formation energy from the elements: -2 kJ/mol of atoms
- Size of the total moment: 0.0000 μB/atom

Cell lengths 5.195, 5.195, 5.286 Å; angles 90.00, 90.00, 90.00 degrees
Atoms (fractional coordinates):
Cd (0.000, 0.500, 0.000)
Cd (0.500, 0.000, 0.000)
Rh (0.000, 0.000, 0.000)
K (0.500, 0.500, 0.500)
Au (0.000, 0.000, 0.500)

=====

no.,E_tot (eV/atom)
1,-2.623
2,-2.941
3,-2.395
4,-1.382
5,-1.997
6,-2.305
7,-1.620
8,-1.674
9,-2.630
10,-2.297
11,-2.608
12,-1.511
13,-2.087
14,-1.848
15,-1.470
16,-1.542
17,-1.677
18,-1.291
19,-1.552
20,-1.588
21,-1.545
22,-1.481
23,-1.504
24,-2.728